# PBE-GGA La8Pm5In, relaxed
data_La8Pm5In
_symmetry_space_group_name_H-M 'P 1'
_symmetry_Int_Tables_number 1
_cell_length_a 8.743
_cell_length_b 8.743
_cell_length_c 8.743
_cell_angle_alpha 105.87
_cell_angle_beta 105.87
_cell_angle_gamma 116.93
loop_
_symmetry_equiv_pos_as_xyz
'x,y,z'
loop_
_atom_site_label
_atom_site_type_symbol
_atom_site_fract_x
_atom_site_fract_y
_atom_site_fract_z
_atom_site_occupancy
La1 La 0.135 0.544 0.085 1
La2 La 0.403 0.087 0.357 1
La3 La 0.456 0.541 0.591 1
La4 La 0.459 0.050 0.915 1
La5 La 0.730 0.046 0.643 1
La6 La 0.913 0.270 0.315 1
La7 La 0.950 0.865 0.409 1
La8 La 0.954 0.597 0.685 1
Pm1 Pm 0.000 0.000 0.000 1
Pm2 Pm 0.210 0.299 0.785 1
Pm3 Pm 0.514 0.425 0.215 1
Pm4 Pm 0.575 0.790 0.088 1
Pm5 Pm 0.701 0.486 0.912 1
In1 In 0.250 0.750 0.500 1
# - electronic total energy (eV per formula unit) = -64.173

# PBE-GGA La6Pm3In, relaxed
data_La6Pm3In
_symmetry_space_group_name_H-M 'P 1'
_symmetry_Int_Tables_number 1
_cell_length_a 12.408
_cell_length_b 3.686
_cell_length_c 15.641
_cell_angle_alpha 90.00
_cell_angle_beta 99.41
_cell_angle_gamma 90.00
loop_
_symmetry_equiv_pos_as_xyz
'x,y,z'
loop_
_atom_site_label
_atom_site_type_symbol
_atom_site_fract_x
_atom_site_fract_y
_atom_site_fract_z
_atom_site_occupancy
La1 La 0.074 0.250 0.399 1
La2 La 0.114 0.750 0.962 1
La3 La 0.180 0.250 0.755 1
La4 La 0.321 0.250 0.121 1
La5 La 0.321 0.750 0.331 1
La6 La 0.401 0.250 0.532 1
La7 La 0.599 0.750 0.468 1
La8 La 0.679 0.250 0.669 1
La9 La 0.679 0.750 0.879 1
La10 La 0.820 0.750 0.245 1
La11 La 0.886 0.250 0.038 1
La12 La 0.926 0.750 0.601 1
Pm1 Pm 0.086 0.750 0.187 1
Pm2 Pm 0.388 0.750 0.932 1
Pm3 Pm 0.436 0.750 0.724 1
Pm4 Pm 0.564 0.250 0.276 1
Pm5 Pm 0.612 0.250 0.068 1
Pm6 Pm 0.914 0.250 0.813 1
In1 In 0.194 0.750 0.575 1
In2 In 0.806 0.250 0.425 1
# - electronic total energy (eV per formula unit) = -46.842

# PBE-GGA La12Pm7In, relaxed
data_La12Pm7In
_symmetry_space_group_name_H-M 'P 1'
_symmetry_Int_Tables_number 1
_cell_length_a 8.897
_cell_length_b 8.897
_cell_length_c 8.897
_cell_angle_alpha 89.73
_cell_angle_beta 89.73
_cell_angle_gamma 89.73
loop_
_symmetry_equiv_pos_as_xyz
'x,y,z'
loop_
_atom_site_label
_atom_site_type_symbol
_atom_site_fract_x
_atom_site_fract_y
_atom_site_fract_z
_atom_site_occupancy
La1 La 0.006 0.885 0.357 1
La2 La 0.115 0.643 0.994 1
La3 La 0.230 0.375 0.765 1
La4 La 0.235 0.770 0.625 1
La5 La 0.357 0.006 0.885 1
La6 La 0.375 0.765 0.230 1
La7 La 0.625 0.235 0.770 1
La8 La 0.643 0.994 0.115 1
La9 La 0.765 0.230 0.375 1
La10 La 0.770 0.625 0.235 1
La11 La 0.885 0.357 0.006 1
La12 La 0.994 0.115 0.643 1
Pm1 Pm 0.000 0.000 0.000 1
Pm2 Pm 0.123 0.435 0.357 1
Pm3 Pm 0.357 0.123 0.435 1
Pm4 Pm 0.435 0.357 0.123 1
Pm5 Pm 0.565 0.643 0.877 1
Pm6 Pm 0.643 0.877 0.565 1
Pm7 Pm 0.877 0.565 0.643 1
In1 In 0.500 0.500 0.500 1
# - polymorph energy (0 for the lowest one) (meV/atom) = 0.0
# - electronic total energy (eV per formula unit) = -93.136

# PBE-GGA LaPm2In, relaxed
data_LaPm2In
_symmetry_space_group_name_H-M 'P 1'
_symmetry_Int_Tables_number 1
_cell_length_a 11.302
_cell_length_b 11.302
_cell_length_c 11.302
_cell_angle_alpha 19.03
_cell_angle_beta 19.03
_cell_angle_gamma 19.03
loop_
_symmetry_equiv_pos_as_xyz
'x,y,z'
loop_
_atom_site_label
_atom_site_type_symbol
_atom_site_fract_x
_atom_site_fract_y
_atom_site_fract_z
_atom_site_occupancy
La1 La 0.000 0.000 0.000 1
Pm1 Pm 0.575 0.575 0.575 1
Pm2 Pm 0.759 0.759 0.759 1
In1 In 0.167 0.167 0.167 1
# - polymorph energy (0 for the lowest one) (meV/atom) = 159.1
# - electronic total energy (eV per formula unit) = -17.646

# PBE-GGA La4Pm3In, relaxed
data_La4Pm3In
_symmetry_space_group_name_H-M 'P 1'
_symmetry_Int_Tables_number 1
_cell_length_a 10.180
_cell_length_b 7.169
_cell_length_c 7.293
_cell_angle_alpha 90.00
_cell_angle_beta 90.00
_cell_angle_gamma 90.00
loop_
_symmetry_equiv_pos_as_xyz
'x,y,z'
loop_
_atom_site_label
_atom_site_type_symbol
_atom_site_fract_x
_atom_site_fract_y
_atom_site_fract_z
_atom_site_occupancy
La1 La 0.000 0.000 0.000 1
La2 La 0.000 0.499 0.501 1
La3 La 0.250 0.244 0.750 1
La4 La 0.250 0.756 0.250 1
La5 La 0.500 0.000 0.500 1
La6 La 0.500 0.501 0.001 1
La7 La 0.750 0.244 0.750 1
La8 La 0.750 0.756 0.250 1
Pm1 Pm 0.000 0.500 0.000 1
Pm2 Pm 0.250 0.230 0.250 1
Pm3 Pm 0.250 0.770 0.750 1
Pm4 Pm 0.500 0.500 0.500 1
Pm5 Pm 0.750 0.230 0.250 1
Pm6 Pm 0.750 0.770 0.750 1
In1 In 0.000 0.999 0.501 1
In2 In 0.500 0.001 0.001 1
# - polymorph energy (0 for the lowest one) (meV/atom) = 0.0
# - electronic total energy (eV per formula unit) = -37.536

# PBE-GGA La2Pm2In, relaxed
data_La2Pm2In
_symmetry_space_group_name_H-M 'P 1'
_symmetry_Int_Tables_number 1
_cell_length_a 5.673
_cell_length_b 5.673
_cell_length_c 6.844
_cell_angle_alpha 114.42
_cell_angle_beta 114.42
_cell_angle_gamma 60.04
loop_
_symmetry_equiv_pos_as_xyz
'x,y,z'
loop_
_atom_site_label
_atom_site_type_symbol
_atom_site_fract_x
_atom_site_fract_y
_atom_site_fract_z
_atom_site_occupancy
La1 La 0.105 0.105 0.314 1
La2 La 0.895 0.895 0.686 1
Pm1 Pm 0.318 0.318 0.955 1
Pm2 Pm 0.682 0.682 0.045 1
In1 In 0.500 0.500 0.500 1
# - polymorph energy (0 for the lowest one) (meV/atom) = 0.0
# - electronic total energy (eV per formula unit) = -23.011

# PBE-GGA La4Pm4In, relaxed
data_La4Pm4In
_symmetry_space_group_name_H-M 'P 1'
_symmetry_Int_Tables_number 1
_cell_length_a 8.159
_cell_length_b 8.159
_cell_length_c 8.159
_cell_angle_alpha 95.56
_cell_angle_beta 95.56
_cell_angle_gamma 143.72
loop_
_symmetry_equiv_pos_as_xyz
'x,y,z'
loop_
_atom_site_label
_atom_site_type_symbol
_atom_site_fract_x
_atom_site_fract_y
_atom_site_fract_z
_atom_site_occupancy
La1 La 0.161 0.161 0.322 1
La2 La 0.161 0.839 0.000 1
La3 La 0.839 0.161 0.000 1
La4 La 0.839 0.839 0.678 1
Pm1 Pm 0.168 0.500 0.668 1
Pm2 Pm 0.500 0.168 0.668 1
Pm3 Pm 0.500 0.832 0.332 1
Pm4 Pm 0.832 0.500 0.332 1
In1 In 0.500 0.500 0.000 1
# - electronic total energy (eV per formula unit) = -42.143

# PBE-GGA La6PmIn, relaxed
data_La6PmIn
_symmetry_space_group_name_H-M 'P 1'
_symmetry_Int_Tables_number 1
_cell_length_a 6.624
_cell_length_b 6.644
_cell_length_c 9.376
_cell_angle_alpha 110.47
_cell_angle_beta 90.07
_cell_angle_gamma 119.89
loop_
_symmetry_equiv_pos_as_xyz
'x,y,z'
loop_
_atom_site_label
_atom_site_type_symbol
_atom_site_fract_x
_atom_site_fract_y
_atom_site_fract_z
_atom_site_occupancy
La1 La 0.047 0.478 0.282 1
La2 La 0.194 0.152 0.717 1
La3 La 0.437 0.238 0.281 1
La4 La 0.563 0.762 0.719 1
La5 La 0.806 0.848 0.283 1
La6 La 0.953 0.522 0.718 1
Pm1 Pm 0.500 0.000 0.500 1
In1 In 0.000 0.000 0.000 1
# - polymorph energy (0 for the lowest one) (meV/atom) = 441.3
# - electronic total energy (eV per formula unit) = -34.582

# PBE-GGA La5Pm2In4, relaxed
data_La5Pm2In4
_symmetry_space_group_name_H-M 'P 1'
_symmetry_Int_Tables_number 1
_cell_length_a 8.962
_cell_length_b 3.501
_cell_length_c 10.960
_cell_angle_alpha 90.00
_cell_angle_beta 95.03
_cell_angle_gamma 90.00
loop_
_symmetry_equiv_pos_as_xyz
'x,y,z'
loop_
_atom_site_label
_atom_site_type_symbol
_atom_site_fract_x
_atom_site_fract_y
_atom_site_fract_z
_atom_site_occupancy
La1 La 0.000 0.000 0.000 1
La2 La 0.046 0.000 0.337 1
La3 La 0.346 0.000 0.860 1
La4 La 0.654 0.000 0.140 1
La5 La 0.954 0.000 0.663 1
Pm1 Pm 0.424 0.000 0.363 1
Pm2 Pm 0.576 0.000 0.637 1
In1 In 0.255 0.500 0.578 1
In2 In 0.300 0.500 0.126 1
In3 In 0.700 0.500 0.874 1
In4 In 0.745 0.500 0.422 1
# - electronic total energy (eV per formula unit) = -48.721

# PBE-GGA La7Pm2In2, relaxed
data_La7Pm2In2
_symmetry_space_group_name_H-M 'P 1'
_symmetry_Int_Tables_number 1
_cell_length_a 6.767
_cell_length_b 6.767
_cell_length_c 9.373
_cell_angle_alpha 90.00
_cell_angle_beta 90.00
_cell_angle_gamma 106.27
loop_
_symmetry_equiv_pos_as_xyz
'x,y,z'
loop_
_atom_site_label
_atom_site_type_symbol
_atom_site_fract_x
_atom_site_fract_y
_atom_site_fract_z
_atom_site_occupancy
La1 La 0.000 0.000 0.000 1
La2 La 0.000 0.500 0.291 1
La3 La 0.000 0.500 0.709 1
La4 La 0.500 0.000 0.291 1
La5 La 0.500 0.000 0.709 1
La6 La 0.500 0.500 0.307 1
La7 La 0.500 0.500 0.693 1
Pm1 Pm 0.341 0.659 0.000 1
Pm2 Pm 0.659 0.341 0.000 1
In1 In 0.168 0.168 0.500 1
In2 In 0.832 0.832 0.500 1
# - electronic total energy (eV per formula unit) = -47.972

# PBE-GGA La6PmIn3, relaxed
data_La6PmIn3
_symmetry_space_group_name_H-M 'P 1'
_symmetry_Int_Tables_number 1
_cell_length_a 9.986
_cell_length_b 9.986
_cell_length_c 6.777
_cell_angle_alpha 90.00
_cell_angle_beta 90.00
_cell_angle_gamma 96.17
loop_
_symmetry_equiv_pos_as_xyz
'x,y,z'
loop_
_atom_site_label
_atom_site_type_symbol
_atom_site_fract_x
_atom_site_fract_y
_atom_site_fract_z
_atom_site_occupancy
La1 La 0.003 0.435 0.923 1
La2 La 0.075 0.925 0.500 1
La3 La 0.263 0.293 0.222 1
La4 La 0.293 0.263 0.722 1
La5 La 0.305 0.695 0.736 1
La6 La 0.435 0.003 0.423 1
La7 La 0.565 0.997 0.923 1
La8 La 0.695 0.305 0.236 1
La9 La 0.707 0.737 0.222 1
La10 La 0.737 0.707 0.722 1
La11 La 0.925 0.075 0.000 1
La12 La 0.997 0.565 0.423 1
Pm1 Pm 0.309 0.691 0.204 1
Pm2 Pm 0.691 0.309 0.704 1
In1 In 0.017 0.760 0.993 1
In2 In 0.240 0.983 0.993 1
In3 In 0.495 0.505 0.471 1
In4 In 0.505 0.495 0.971 1
In5 In 0.760 0.017 0.493 1
In6 In 0.983 0.240 0.493 1
# - electronic total energy (eV per formula unit) = -44.947

# PBE-GGA La12PmIn3, relaxed
data_La12PmIn3
_symmetry_space_group_name_H-M 'P 1'
_symmetry_Int_Tables_number 1
_cell_length_a 5.092
_cell_length_b 5.092
_cell_length_c 20.605
_cell_angle_alpha 90.00
_cell_angle_beta 90.00
_cell_angle_gamma 90.00
loop_
_symmetry_equiv_pos_as_xyz
'x,y,z'
loop_
_atom_site_label
_atom_site_type_symbol
_atom_site_fract_x
_atom_site_fract_y
_atom_site_fract_z
_atom_site_occupancy
La1 La 0.000 0.000 0.000 1
La2 La 0.000 0.000 0.245 1
La3 La 0.000 0.000 0.500 1
La4 La 0.000 0.000 0.755 1
La5 La 0.000 0.500 0.123 1
La6 La 0.000 0.500 0.369 1
La7 La 0.000 0.500 0.631 1
La8 La 0.000 0.500 0.877 1
La9 La 0.500 0.000 0.123 1
La10 La 0.500 0.000 0.369 1
La11 La 0.500 0.000 0.631 1
La12 La 0.500 0.000 0.877 1
Pm1 Pm 0.500 0.500 0.500 1
In1 In 0.500 0.500 0.000 1
In2 In 0.500 0.500 0.245 1
In3 In 0.500 0.500 0.755 1
# - electronic total energy (eV per formula unit) = -75.548